(1)
# Pm5Nd4 (PBE, optimized geometry)
data_Pm5Nd4
_symmetry_space_group_name_H-M 'P 1'
_symmetry_Int_Tables_number 1
_symmetry_space_group_name_Hall 'P 1'
_cell_length_a 8.1944
_cell_length_b 8.1944
_cell_length_c 8.1944
_cell_angle_alpha 95.74
_cell_angle_beta 95.74
_cell_angle_gamma 143.12
loop_
_atom_site_label
_atom_site_fract_x
_atom_site_fract_y
_atom_site_fract_z
Pm1 0.0000 0.0000 0.0000
Pm2 0.3335 0.3335 0.6671
Pm3 0.3335 0.6665 0.0000
Pm4 0.6665 0.3335 0.0000
Pm5 0.6665 0.6665 0.3329
Nd1 0.0000 0.3327 0.3327
Nd2 0.0000 0.6673 0.6673
Nd3 0.3327 0.0000 0.3327
Nd4 0.6673 0.0000 0.6673
# - Final energy: -42.71 eV per formula unit
# - Space-group type: I4/mmm (139)
# - Formation energy from the elements: 0.12 eV per formula unit

---

(2)
# Pm7Nd6 (PBE, optimized geometry)
data_Pm7Nd6
_symmetry_space_group_name_H-M 'P 1'
_symmetry_Int_Tables_number 1
_symmetry_space_group_name_Hall 'P 1'
_cell_length_a 12.2681
_cell_length_b 12.2681
_cell_length_c 12.2681
_cell_angle_alpha 31.90
_cell_angle_beta 31.90
_cell_angle_gamma 31.90
loop_
_atom_site_label
_atom_site_fract_x
_atom_site_fract_y
_atom_site_fract_z
Pm1 0.0000 0.0000 0.0000
Pm2 0.0909 0.0909 0.5768
Pm3 0.0909 0.5768 0.0909
Pm4 0.4232 0.9091 0.9091
Pm5 0.5768 0.0909 0.0909
Pm6 0.9091 0.4232 0.9091
Pm7 0.9091 0.9091 0.4232
Nd1 0.1647 0.1647 0.1647
Nd2 0.3503 0.3503 0.3503
Nd3 0.4536 0.4536 0.4536
Nd4 0.5464 0.5464 0.5464
Nd5 0.6497 0.6497 0.6497
Nd6 0.8353 0.8353 0.8353
# - Final energy: -58.82 eV per formula unit
# - Space-group type: R-3m (166)
# - Formation energy from the elements: 3.04 eV per formula unit

---

(3)
# Pm5Nd6 (PBE, optimized geometry)
data_Pm5Nd6
_symmetry_space_group_name_H-M 'P 1'
_symmetry_Int_Tables_number 1
_symmetry_space_group_name_Hall 'P 1'
_cell_length_a 9.5529
_cell_length_b 9.5529
_cell_length_c 5.7259
_cell_angle_alpha 107.41
_cell_angle_beta 107.41
_cell_angle_gamma 115.86
loop_
_atom_site_label
_atom_site_fract_x
_atom_site_fract_y
_atom_site_fract_z
Pm1 0.0000 0.0000 0.0000
Pm2 0.1604 0.8396 0.5000
Pm3 0.2992 0.7008 0.0000
Pm4 0.7008 0.2992 0.0000
Pm5 0.8396 0.1604 0.5000
Nd1 0.1570 0.4316 0.2944
Nd2 0.2938 0.2938 0.7939
Nd3 0.4316 0.1570 0.2944
Nd4 0.5684 0.8430 0.7056
Nd5 0.7062 0.7062 0.2061
Nd6 0.8430 0.5684 0.7056
# - Final energy: -51.21 eV per formula unit
# - Space-group type: C2/m (12)
# - Distance to the lowest polymorph of the same formula: 0.000 eV per atom
# - Formation energy from the elements: 1.15 eV per formula unit

---

(4)
# Pm4Nd (PBE, optimized geometry)
data_Pm4Nd
_symmetry_space_group_name_H-M 'P 1'
_symmetry_Int_Tables_number 1
_symmetry_space_group_name_Hall 'P 1'
_cell_length_a 13.1883
_cell_length_b 13.1883
_cell_length_c 13.1883
_cell_angle_alpha 164.05
_cell_angle_beta 164.05
_cell_angle_gamma 22.63
loop_
_atom_site_label
_atom_site_fract_x
_atom_site_fract_y
_atom_site_fract_z
Pm1 0.1004 0.1004 0.0000
Pm2 0.2999 0.2999 0.0000
Pm3 0.7001 0.7001 0.0000
Pm4 0.8996 0.8996 0.0000
Nd1 0.5000 0.5000 0.0000
# - Final energy: -23.70 eV per formula unit
# - Space-group type: I4/mmm (139)
# - Distance to the lowest polymorph of the same formula: 0.005 eV per atom
# - Formation energy from the elements: 0.08 eV per formula unit

---

(5)
# Pm3Nd4 (PBE, optimized geometry)
data_Pm3Nd4
_symmetry_space_group_name_H-M 'P 1'
_symmetry_Int_Tables_number 1
_symmetry_space_group_name_Hall 'P 1'
_cell_length_a 18.3645
_cell_length_b 18.3645
_cell_length_c 18.3645
_cell_angle_alpha 168.53
_cell_angle_beta 168.53
_cell_angle_gamma 16.25
loop_
_atom_site_label
_atom_site_fract_x
_atom_site_fract_y
_atom_site_fract_z
Pm1 0.0000 0.0000 0.0000
Pm2 0.2854 0.2854 0.0000
Pm3 0.7146 0.7146 0.0000
Nd1 0.1432 0.1432 0.0000
Nd2 0.4287 0.4287 0.0000
Nd3 0.5713 0.5713 0.0000
Nd4 0.8568 0.8568 0.0000
# - Final energy: -33.22 eV per formula unit
# - Space-group type: I4/mmm (139)
# - Distance to the lowest polymorph of the same formula: 0.003 eV per atom
# - Formation energy from the elements: 0.11 eV per formula unit

---

(6)
# PmNd (PBE, optimized geometry)
data_PmNd
_symmetry_space_group_name_H-M 'P 1'
_symmetry_Int_Tables_number 1
_symmetry_space_group_name_Hall 'P 1'
_cell_length_a 7.3281
_cell_length_b 7.3281
_cell_length_c 7.3281
_cell_angle_alpha 60.00
_cell_angle_beta 60.00
_cell_angle_gamma 60.00
loop_
_atom_site_label
_atom_site_fract_x
_atom_site_fract_y
_atom_site_fract_z
Pm1 0.0000 0.0000 0.0000
Pm2 0.0000 0.0000 0.5000
Pm3 0.0000 0.5000 0.0000
Pm4 0.5000 0.0000 0.0000
Nd1 0.0000 0.5000 0.5000
Nd2 0.5000 0.0000 0.5000
Nd3 0.5000 0.5000 0.0000
Nd4 0.5000 0.5000 0.5000
# - Final energy: -9.50 eV per formula unit
# - Space-group type: Fd-3m (227)
# - Distance to the lowest polymorph of the same formula: 0.000 eV per atom
# - Formation energy from the elements: 0.02 eV per formula unit

---

(7)
# Pm6Nd (PBE, optimized geometry)
data_Pm6Nd
_symmetry_space_group_name_H-M 'P 1'
_symmetry_Int_Tables_number 1
_symmetry_space_group_name_Hall 'P 1'
_cell_length_a 7.0576
_cell_length_b 7.0576
_cell_length_c 7.0576
_cell_angle_alpha 109.47
_cell_angle_beta 109.47
_cell_angle_gamma 109.47
loop_
_atom_site_label
_atom_site_fract_x
_atom_site_fract_y
_atom_site_fract_z
Pm1 0.2500 0.5000 0.7500
Pm2 0.2500 0.7500 0.5000
Pm3 0.5000 0.2500 0.7500
Pm4 0.5000 0.7500 0.2500
Pm5 0.7500 0.2500 0.5000
Pm6 0.7500 0.5000 0.2500
Nd1 0.0000 0.0000 0.0000
# - Final energy: -24.99 eV per formula unit
# - Space-group type: Im-3m (229)
# - Formation energy from the elements: 8.28 eV per formula unit

---

(8)
# Pm3Nd (PBE, optimized geometry)
data_Pm3Nd
_symmetry_space_group_name_H-M 'P 1'
_symmetry_Int_Tables_number 1
_symmetry_space_group_name_Hall 'P 1'
_cell_length_a 6.3544
_cell_length_b 6.3544
_cell_length_c 6.3544
_cell_angle_alpha 132.07
_cell_angle_beta 132.07
_cell_angle_gamma 70.12
loop_
_atom_site_label
_atom_site_fract_x
_atom_site_fract_y
_atom_site_fract_z
Pm1 0.0000 0.0000 0.0000
Pm2 0.2500 0.7500 0.5000
Pm3 0.7500 0.2500 0.5000
Nd1 0.5000 0.5000 0.0000
# - Final energy: -18.97 eV per formula unit
# - Space-group type: I4/mmm (139)
# - Distance to the lowest polymorph of the same formula: 0.009 eV per atom
# - Formation energy from the elements: 0.05 eV per formula unit